LiZn2Cu8 (GGA-PBE, optimized geometry); SG = C2/m; calculated density = 7.4 Mg/m³; E above lowest polymorph = 119 meV per atom; crystal system = monoclinic; DFT total energy = -3.32 eV per atom; formation enthalpy at 0 K = 0.069 eV per atom
1.0
-3.394 0.611 -2.821
-6.460 -0.824 1.630
-3.546 5.231 2.417
Li Zn Cu
1 2 8
Direct
0.500 0.000 0.000 Li
0.000 0.310 0.379 Zn
0.000 0.690 0.621 Zn
0.839 0.096 0.241 Cu
0.839 0.337 0.759 Cu
0.305 0.428 0.000 Cu
0.500 0.794 0.413 Cu
0.500 0.206 0.587 Cu
0.695 0.572 0.000 Cu
0.161 0.663 0.241 Cu
0.161 0.904 0.759 Cu